#w
Entry from Alexandria via LeMat-Bulk: an optimized crystal structure of Na2FeSb2 (PBE).

```
Na2FeSb2
1.0
6.843 0.000 0.000
0.000 6.843 0.000
0.000 0.000 5.234
Na Fe Sb
4 2 4
Cartesian
1.158 2.264 0.000 Na
2.264 5.685 0.000 Na
4.580 1.158 0.000 Na
5.685 4.580 0.000 Na
0.000 0.000 2.617 Fe
3.422 3.422 2.617 Fe
1.044 4.465 2.617 Sb
2.378 1.044 2.617 Sb
4.465 5.800 2.617 Sb
5.800 2.378 2.617 Sb
```

#x
Entry from Alexandria via LeMat-Bulk: an optimized crystal structure of Na2FeSb2 (PBE).

```
Na2FeSb2
1.0
-2.132 2.132 8.290
2.132 -2.132 8.290
2.132 2.132 -8.290
Na Fe Sb
2 1 2
Cartesian
0.000 0.000 1.615 Na
0.000 0.000 14.966 Na
0.000 0.000 8.290 Fe
2.132 0.000 4.145 Sb
0.000 2.132 4.145 Sb
```

#y
Entry from Alexandria via LeMat-Bulk: an optimized crystal structure of Na2FeSb2 (PBE).

```
Na2FeSb2
1.0
8.938 0.000 0.000
0.000 8.938 0.000
0.000 0.000 3.092
Na Fe Sb
4 2 4
Cartesian
1.016 3.453 0.000 Na
3.453 7.922 0.000 Na
5.485 1.016 0.000 Na
7.922 5.485 0.000 Na
0.000 0.000 0.000 Fe
4.469 4.469 0.000 Fe
1.666 6.135 1.546 Sb
2.803 1.666 1.546 Sb
6.135 7.272 1.546 Sb
7.272 2.803 1.546 Sb
```

#z
Entry from Alexandria via LeMat-Bulk: an optimized crystal structure of Na2FeSb2 (PBE).

```
Na2FeSb2
1.0
-1.880 1.880 8.194
1.880 -1.880 8.194
1.880 1.880 -8.194
Na Fe Sb
2 1 2
Cartesian
1.880 0.000 4.097 Na
0.000 1.880 4.097 Na
0.000 0.000 0.000 Fe
0.000 0.000 6.730 Sb
0.000 0.000 9.658 Sb
```

Which structure loses on stability? #x does.

#w
Entry from Alexandria via LeMat-Bulk: an optimized crystal structure of NaFeSb2Te (PBE).

```
NaFeSb2Te
1.0
5.299 0.000 0.000
0.000 5.299 0.000
0.000 0.000 5.354
Na Fe Sb Te
1 1 2 1
Cartesian
0.000 0.000 0.000 Na
2.649 2.649 2.677 Fe
0.000 2.649 0.000 Sb
2.649 0.000 0.000 Sb
0.000 0.000 2.677 Te
```

#x
Entry from Alexandria via LeMat-Bulk: an optimized crystal structure of NaFeSb2Te (PBE).

```
NaFeSb2Te
1.0
4.808 0.000 0.000
0.000 4.808 0.000
0.000 0.000 5.979
Na Fe Sb Te
1 1 2 1
Cartesian
0.000 0.000 0.000 Na
2.404 2.404 2.990 Fe
0.000 2.404 2.990 Sb
2.404 0.000 2.990 Sb
2.404 2.404 0.000 Te
```

Which structure loses on stability? #w does.

#w
Entry from Alexandria via LeMat-Bulk: an optimized crystal structure of Na3ScFe (PBE).

```
Na3ScFe
1.0
5.321 0.000 0.000
0.000 5.321 0.000
0.000 0.000 5.321
Na Sc Fe
3 1 1
Cartesian
0.000 0.000 2.661 Na
0.000 2.661 0.000 Na
2.661 0.000 0.000 Na
2.661 2.661 2.661 Sc
0.000 0.000 0.000 Fe
```

#x
Entry from Alexandria via LeMat-Bulk: an optimized crystal structure of Na3ScFe (PBE).

```
Na3ScFe
1.0
6.175 0.000 0.000
0.000 6.175 0.000
0.000 0.000 6.175
Na Sc Fe
3 1 1
Cartesian
0.000 0.000 3.088 Na
0.000 3.088 0.000 Na
3.088 0.000 0.000 Na
0.000 0.000 0.000 Sc
3.088 3.088 3.088 Fe
```

Which structure loses on stability? #x does.

#w
Entry from Alexandria via LeMat-Bulk: an optimized crystal structure of NaFeSi3 (PBE).

```
NaFeSi3
1.0
4.478 0.000 0.000
0.000 4.478 0.000
0.000 0.000 4.478
Na Fe Si
1 1 3
Cartesian
0.000 0.000 0.000 Na
2.239 2.239 2.239 Fe
0.000 2.239 2.239 Si
2.239 0.000 2.239 Si
2.239 2.239 0.000 Si
```

#x
Entry from Alexandria via LeMat-Bulk: an optimized crystal structure of NaFeSi3 (PBE).

```
NaFeSi3
1.0
4.741 0.000 0.000
0.000 4.741 0.000
0.000 0.000 4.741
Na Fe Si
1 1 3
Cartesian
0.000 0.000 0.000 Na
2.370 2.370 2.370 Fe
0.000 0.000 2.370 Si
0.000 2.370 0.000 Si
2.370 0.000 0.000 Si
```

Which structure loses on stability? #x does.